Record 1
# LaOsPb2, optimized geometry, DFT PBE-GGA
data_LaOsPb2
_space_group_name_H-M_alt 'R -3 m'
_space_group_IT_number 166
_space_group_name_Hall '-R 3 2"'
_cell_length_a 3.5111
_cell_length_b 3.5111
_cell_length_c 28.8095
_cell_angle_alpha 90.00
_cell_angle_beta 90.00
_cell_angle_gamma 120.00
loop_
_atom_site_label
_atom_site_type_symbol
_atom_site_fract_x
_atom_site_fract_y
_atom_site_fract_z
La1 La 0.0000 0.0000 0.0000
Os1 Os 0.0000 0.0000 0.5000
Pb1 Pb 0.0000 0.0000 0.2350
# Energy above the most stable polymorph in this dataset (eV/atom): 0.361
# E (eV per atom): -5.459
# Energy of formation from the pure elements (eV per atom): 0.43
# Fermi-level density of states (states/eV/cell): 10.0

***

Record 2
# TbTm3Cu2, optimized geometry, DFT PBE-GGA
data_TbTm3Cu2
_space_group_name_H-M_alt 'I b a m'
_space_group_IT_number 72
_space_group_name_Hall '-I 2 2c'
_cell_length_a 6.727
_cell_length_b 13.293
_cell_length_c 7.076
_cell_angle_alpha 90.00
_cell_angle_beta 90.00
_cell_angle_gamma 90.00
loop_
_atom_site_label
_atom_site_type_symbol
_atom_site_fract_x
_atom_site_fract_y
_atom_site_fract_z
Tb1 Tb 0.000 0.000 0.000
Tm1 Tm 0.000 0.235 0.250
Tm2 Tm 0.000 0.500 0.250
Cu1 Cu 0.208 0.358 0.000
# Energy above the most stable polymorph in this dataset (eV/atom): 0.178
# E (eV per atom): -4.373
# Energy of formation from the pure elements (eV per atom): 0.00
# Fermi-level density of states (states/eV/cell): 26.8

***

Record 3
# K2ZrOs, optimized geometry, DFT PBE-GGA
data_K2ZrOs
_space_group_name_H-M_alt 'I -4 2 d'
_space_group_IT_number 122
_space_group_name_Hall 'I -4 2bw'
_cell_length_a 12.467
_cell_length_b 12.467
_cell_length_c 4.786
_cell_angle_alpha 90.00
_cell_angle_beta 90.00
_cell_angle_gamma 90.00
loop_
_atom_site_label
_atom_site_type_symbol
_atom_site_fract_x
_atom_site_fract_y
_atom_site_fract_z
K1 K 0.097 0.250 0.125
Zr1 Zr 0.000 0.000 0.500
Os1 Os 0.000 0.000 0.000
# Energy above the most stable polymorph in this dataset (eV/atom): 0.784
# E (eV per atom): -4.288
# Energy of formation from the pure elements (eV per atom): 1.21
# Fermi-level density of states (states/eV/cell): 18.3

***

Record 4
# Y2TcIrC, optimized geometry, DFT PBE-GGA
data_Y2TcIrC
_space_group_name_H-M_alt 'P 4/m m m'
_space_group_IT_number 123
_space_group_name_Hall '-P 4 2'
_cell_length_a 5.453
_cell_length_b 5.453
_cell_length_c 3.807
_cell_angle_alpha 90.00
_cell_angle_beta 90.00
_cell_angle_gamma 90.00
loop_
_atom_site_label
_atom_site_type_symbol
_atom_site_fract_x
_atom_site_fract_y
_atom_site_fract_z
Y1 Y 0.000 0.500 0.000
Tc1 Tc 0.000 0.000 0.500
Ir1 Ir 0.500 0.500 0.000
C1 C 0.500 0.500 0.500
# Energy above the most stable polymorph in this dataset (eV/atom): 0.857
# E (eV per atom): -7.702
# Energy of formation from the pure elements (eV per atom): 0.57
# Fermi-level density of states (states/eV/cell): 4.7

***

Record 5
# PrMg2Ga2Ir, optimized geometry, DFT PBE-GGA
data_PrMg2Ga2Ir
_space_group_name_H-M_alt 'I 4/m m m'
_space_group_IT_number 139
_space_group_name_Hall '-I 4 2'
_cell_length_a 5.064
_cell_length_b 5.064
_cell_length_c 11.075
_cell_angle_alpha 90.00
_cell_angle_beta 90.00
_cell_angle_gamma 90.00
loop_
_atom_site_label
_atom_site_type_symbol
_atom_site_fract_x
_atom_site_fract_y
_atom_site_fract_z
Pr1 Pr 0.000 0.000 0.000
Mg1 Mg 0.000 0.500 0.250
Ga1 Ga 0.000 0.000 0.287
Ir1 Ir 0.000 0.000 0.500
# E (eV per atom): -3.722
# Energy of formation from the pure elements (eV per atom): 0.09
# Fermi-level density of states (states/eV/cell): 3.2

***

Record 6
# CsSn2Au, optimized geometry, DFT PBE-GGA
data_CsSn2Au
_space_group_name_H-M_alt 'R -3 m'
_space_group_IT_number 166
_space_group_name_Hall '-R 3 2"'
_cell_length_a 4.6172
_cell_length_b 4.6172
_cell_length_c 23.0188
_cell_angle_alpha 90.00
_cell_angle_beta 90.00
_cell_angle_gamma 120.00
loop_
_atom_site_label
_atom_site_type_symbol
_atom_site_fract_x
_atom_site_fract_y
_atom_site_fract_z
Cs1 Cs 0.0000 0.0000 0.0000
Sn1 Sn 0.0000 0.0000 0.2101
Au1 Au 0.0000 0.0000 0.5000
# E (eV per atom): -3.337
# Energy of formation from the pure elements (eV per atom): -0.30
# Fermi-level density of states (states/eV/cell): 2.2

***

Record 7
# BaSr2Si2, optimized geometry, DFT PBE-GGA
data_BaSr2Si2
_space_group_name_H-M_alt 'I 4/m m m'
_space_group_IT_number 139
_space_group_name_Hall '-I 4 2'
_cell_length_a 5.078
_cell_length_b 5.078
_cell_length_c 13.063
_cell_angle_alpha 90.00
_cell_angle_beta 90.00
_cell_angle_gamma 90.00
loop_
_atom_site_label
_atom_site_type_symbol
_atom_site_fract_x
_atom_site_fract_y
_atom_site_fract_z
Ba1 Ba 0.000 0.000 0.000
Sr1 Sr 0.000 0.500 0.250
Si1 Si 0.000 0.000 0.410
# Energy above the most stable polymorph in this dataset (eV/atom): 0.054
# E (eV per atom): -3.459
# ΔE_f (raw) (eV/f.u.): -1.16
# Fermi-level density of states (states/eV/cell): 7.3

***

Record 8
# Ni2PdAu, optimized geometry, DFT PBE-GGA
data_Ni2PdAu
_space_group_name_H-M_alt 'R -3 m'
_space_group_IT_number 166
_space_group_name_Hall '-R 3 2"'
_cell_length_a 2.7619
_cell_length_b 2.7619
_cell_length_c 25.6792
_cell_angle_alpha 90.00
_cell_angle_beta 90.00
_cell_angle_gamma 120.00
loop_
_atom_site_label
_atom_site_type_symbol
_atom_site_fract_x
_atom_site_fract_y
_atom_site_fract_z
Ni1 Ni 0.0000 0.0000 0.2474
Pd1 Pd 0.0000 0.0000 0.5000
Au1 Au 0.0000 0.0000 0.0000
# E (eV per atom): -4.864
# Energy of formation from the pure elements (eV per atom): 0.14
# Fermi-level density of states (states/eV/cell): 18.5

***

Record 9
# CaNi2Br, optimized geometry, DFT PBE-GGA
data_CaNi2Br
_space_group_name_H-M_alt 'P 1 m 1'
_space_group_IT_number 6
_cell_length_a 3.378
_cell_length_b 3.368
_cell_length_c 7.454
_cell_angle_alpha 90.00
_cell_angle_beta 102.93
_cell_angle_gamma 90.00
loop_
_space_group_symop_operation_xyz
'x,y,z'
'x,-y,z'
loop_
_atom_site_label
_atom_site_type_symbol
_atom_site_fract_x
_atom_site_fract_y
_atom_site_fract_z
Ca1 Ca 0.000 0.000 0.000
Ni1 Ni 0.350 0.500 0.713
Ni2 Ni 0.812 0.000 0.637
Br1 Br 0.615 0.500 0.233
# Energy above the most stable polymorph in this dataset (eV/atom): 0.042
# E (eV per atom): -4.029
# ΔE_f (raw) (eV/f.u.): -0.88
# Fermi-level density of states (states/eV/cell): 4.3

***

> Look up the E of the fifth one.

-3.722 eV per atom